Computed, not measured: crystalline NpUGa4 at its relaxed geometry at the GGA-PBE level of DFT.

The electronic total energy comes out at -37.3 eV for the cell shown. The calculated formation energy comes out at -166 meV/atom. The calculation puts the total magnetization at 6.295 μB per formula unit. As for the crystal system: orthorhombic. For the energy relative to the lowest polymorph listed for this composition, the calculation gives 20.3 meV per atom.

The structure belongs to space group Pmmm (No. 47); the cell edges are 2.8694, 4.8872 and 8.1378 Å and the angles 90.00°, 90.00° and 90.00°. The distinct sites, in fractional coordinates, are Np at (0.0000, 0.0000, 0.0000), U at (0.0000, 0.5000, 0.5000), Ga at (0.5000, 0.0000, 0.3370) and Ga at (0.5000, 0.5000, 0.1654).